VASP calculation (GGA-PBE) on a geometry-optimized Ce2Pm2Sn structure.

Calculated values
Formation energy ... 0.32 eV per formula unit

```
Ce2Pm2Sn
1.0
-1.927 1.927 10.427
1.927 -1.927 10.427
1.927 1.927 -10.427
Ce Pm Sn
2 2 1
Cartesian
1.927 0.000 5.214 Ce
0.000 1.927 5.214 Ce
0.000 0.000 1.903 Pm
0.000 0.000 18.951 Pm
0.000 0.000 10.427 Sn
```

VASP calculation (GGA-PBE) on a geometry-optimized Ce4Pm3Sn4 structure.

Calculated values
Formation energy ... -4.90 eV per formula unit

```
Ce4Pm3Sn4
1.0
-1.978 5.249 8.019
1.978 -5.249 8.019
1.978 5.249 -8.019
Ce Pm Sn
4 3 4
Cartesian
1.978 -2.850 4.920 Ce
0.000 2.400 3.099 Ce
1.978 2.850 4.920 Ce
0.000 8.099 3.099 Ce
1.978 0.000 0.000 Pm
0.000 0.000 6.261 Pm
0.000 0.000 9.778 Pm
1.978 0.000 3.588 Sn
0.000 2.957 0.000 Sn
0.000 7.542 0.000 Sn
0.000 5.249 4.431 Sn
```

VASP calculation (GGA-PBE) on a geometry-optimized Ce4PmSn5 structure.

Calculated values
Formation energy ... -6.07 eV per formula unit

```
Ce4PmSn5
1.0
3.497 0.000 0.000
0.000 3.497 0.000
0.000 0.000 22.612
Ce Pm Sn
4 1 5
Cartesian
0.000 0.000 2.251 Ce
0.000 0.000 6.758 Ce
0.000 0.000 15.855 Ce
0.000 0.000 20.361 Ce
0.000 0.000 11.306 Pm
1.749 1.749 0.000 Sn
1.749 1.749 4.507 Sn
1.749 1.749 9.034 Sn
1.749 1.749 13.578 Sn
1.749 1.749 18.106 Sn
```

VASP calculation (GGA-PBE) on a geometry-optimized Ce2Pm2Sn7 structure.

Calculated values
Formation energy ... -1.41 eV per formula unit

```
Ce2Pm2Sn7
1.0
5.346 -5.891 0.000
5.346 5.891 0.000
0.000 0.000 6.000
Ce Pm Sn
2 2 7
Cartesian
2.250 0.000 0.000 Ce
8.442 0.000 0.000 Ce
5.346 2.836 3.000 Pm
5.346 -2.836 3.000 Pm
0.000 0.000 3.000 Sn
2.673 2.946 1.422 Sn
2.673 2.946 4.578 Sn
2.673 -2.946 1.422 Sn
2.673 -2.946 4.578 Sn
5.346 0.000 1.445 Sn
5.346 0.000 4.554 Sn
```

VASP calculation (GGA-PBE) on a geometry-optimized CePm5Sn3 structure.

Calculated values
Energy relative to the lowest polymorph listed for this composition ... 260 meV/atom
Formation energy ... -2.80 eV per formula unit

```
CePm5Sn3
1.0
-4.153 4.153 7.739
4.153 -4.153 7.739
4.153 4.153 -7.739
Ce Pm Sn
2 10 6
Cartesian
4.153 0.000 3.869 Ce
0.000 4.153 3.869 Ce
0.000 0.000 0.000 Pm
5.772 1.620 -2.119 Pm
1.620 2.533 -2.119 Pm
5.772 1.620 2.119 Pm
1.620 2.533 2.119 Pm
0.000 0.000 7.739 Pm
2.533 1.620 5.620 Pm
-1.620 2.533 5.620 Pm
2.533 1.620 9.858 Pm
-1.620 2.533 9.858 Pm
3.158 0.994 0.000 Sn
0.000 0.000 3.869 Sn
3.158 -0.994 7.739 Sn
0.994 5.147 0.000 Sn
0.000 0.000 11.608 Sn
0.994 3.158 7.739 Sn
```

VASP calculation (GGA-PBE) on a geometry-optimized Ce3Pm3Sn5 structure.

Calculated values
Formation energy ... 1.29 eV per formula unit

```
Ce3Pm3Sn5
1.0
9.413 0.000 0.000
-4.707 8.152 0.000
0.000 0.000 5.568
Ce Pm Sn
3 3 5
Cartesian
-2.385 4.131 0.000 Ce
2.321 4.021 0.000 Ce
4.770 0.000 0.000 Ce
-1.327 2.299 2.784 Pm
2.655 0.000 2.784 Pm
3.379 5.853 2.784 Pm
-3.011 5.216 2.784 Sn
0.000 5.435 2.784 Sn
1.695 2.937 2.784 Sn
6.022 0.000 2.784 Sn
4.707 2.717 2.784 Sn
```

VASP calculation (GGA-PBE) on a geometry-optimized Ce3PmSn2 structure.

Calculated values
Formation energy ... -2.55 eV per formula unit

```
Ce3PmSn2
1.0
9.260 -2.422 0.000
9.260 2.422 0.000
-3.401 0.000 7.412
Ce Pm Sn
6 2 4
Cartesian
0.722 0.000 1.184 Ce
3.519 0.000 4.290 Ce
3.792 0.000 7.023 Ce
11.326 0.000 0.389 Ce
11.599 0.000 3.122 Ce
14.395 0.000 6.228 Ce
-0.215 0.000 5.044 Pm
15.333 0.000 2.368 Pm
4.088 0.000 1.136 Sn
6.644 0.000 4.856 Sn
8.474 0.000 2.556 Sn
11.030 0.000 6.276 Sn
```

VASP calculation (GGA-PBE) on a geometry-optimized Ce2PmSn3 structure.

Calculated values
Energy relative to the lowest polymorph listed for this composition ... 0 meV/atom
Formation energy ... -3.69 eV per formula unit

```
Ce2PmSn3
1.0
2.487 -7.465 0.000
2.487 7.465 0.000
0.000 0.000 4.498
Ce Pm Sn
2 1 3
Cartesian
2.487 4.958 0.000 Ce
2.487 -4.958 0.000 Ce
2.487 0.000 0.000 Pm
0.000 0.000 2.249 Sn
2.487 2.471 2.249 Sn
2.487 -2.471 2.249 Sn
```